# Pr6DyHo3Tm2 (PBE, relaxed)
# - space group = C2/m
# - calculated formation energy (meV per atom) = 13
# - total magnetization (μB per cell) = 0.00
# - crystal system = monoclinic
data_Pr6DyHo3Tm2
_symmetry_space_group_name_H-M 'P 1'
_symmetry_Int_Tables_number 1
_cell_length_a 6.285
_cell_length_b 6.285
_cell_length_c 11.829
_cell_angle_alpha 95.07
_cell_angle_beta 95.07
_cell_angle_gamma 119.99
loop_
_symmetry_equiv_pos_as_xyz
'x,y,z'
loop_
_atom_site_label
_atom_site_fract_x
_atom_site_fract_y
_atom_site_fract_z
Pr1 0.083 0.417 0.750
Pr2 0.250 0.250 0.249
Pr3 0.417 0.083 0.750
Pr4 0.583 0.917 0.250
Pr5 0.750 0.750 0.751
Pr6 0.917 0.583 0.250
Dy1 0.500 0.500 0.000
Ho1 0.000 0.000 0.500
Ho2 0.333 0.667 0.500
Ho3 0.667 0.333 0.500
Tm1 0.167 0.833 0.000
Tm2 0.833 0.167 0.000



# Pr2DyHo2Tm2 (PBE, relaxed)
# - space group = C2/m
# - calculated formation energy (meV per atom) = 86
# - total magnetization (μB per cell) = 0.00
# - crystal system = monoclinic
data_Pr2DyHo2Tm2
_symmetry_space_group_name_H-M 'P 1'
_symmetry_Int_Tables_number 1
_cell_length_a 6.111
_cell_length_b 6.111
_cell_length_c 11.821
_cell_angle_alpha 108.34
_cell_angle_beta 108.34
_cell_angle_gamma 33.39
loop_
_symmetry_equiv_pos_as_xyz
'x,y,z'
loop_
_atom_site_label
_atom_site_fract_x
_atom_site_fract_y
_atom_site_fract_z
Pr1 0.171 0.171 0.085
Pr2 0.829 0.829 0.915
Dy1 0.500 0.500 0.500
Ho1 0.049 0.049 0.767
Ho2 0.951 0.951 0.233
Tm1 0.273 0.273 0.634
Tm2 0.727 0.727 0.366



# PrDy2Ho6Tm (PBE, relaxed)
# - space group = C2/c
# - calculated formation energy (meV per atom) = 120
# - total magnetization (μB per cell) = 0.00
# - crystal system = monoclinic
data_PrDy2Ho6Tm
_symmetry_space_group_name_H-M 'P 1'
_symmetry_Int_Tables_number 1
_cell_length_a 8.755
_cell_length_b 8.755
_cell_length_c 9.482
_cell_angle_alpha 93.50
_cell_angle_beta 93.50
_cell_angle_gamma 117.71
loop_
_symmetry_equiv_pos_as_xyz
'x,y,z'
loop_
_atom_site_label
_atom_site_fract_x
_atom_site_fract_y
_atom_site_fract_z
Pr1 0.025 0.975 0.750
Pr2 0.975 0.025 0.250
Dy1 0.200 0.306 0.547
Dy2 0.306 0.200 0.047
Dy3 0.694 0.800 0.953
Dy4 0.800 0.694 0.453
Ho1 0.016 0.565 0.684
Ho2 0.125 0.750 0.057
Ho3 0.250 0.875 0.443
Ho4 0.291 0.509 0.882
Ho5 0.435 0.984 0.816
Ho6 0.491 0.709 0.618
Ho7 0.509 0.291 0.382
Ho8 0.565 0.016 0.184
Ho9 0.709 0.491 0.118
Ho10 0.750 0.125 0.557
Ho11 0.875 0.250 0.943
Ho12 0.984 0.435 0.316
Tm1 0.410 0.590 0.250
Tm2 0.590 0.410 0.750



# PrDy6HoTm2 (PBE, relaxed)
# - space group = C2/c
# - calculated formation energy (meV per atom) = 121
# - total magnetization (μB per cell) = 0.00
# - crystal system = monoclinic
data_PrDy6HoTm2
_symmetry_space_group_name_H-M 'P 1'
_symmetry_Int_Tables_number 1
_cell_length_a 8.760
_cell_length_b 8.760
_cell_length_c 9.443
_cell_angle_alpha 93.16
_cell_angle_beta 93.16
_cell_angle_gamma 117.13
loop_
_symmetry_equiv_pos_as_xyz
'x,y,z'
loop_
_atom_site_label
_atom_site_fract_x
_atom_site_fract_y
_atom_site_fract_z
Pr1 0.030 0.970 0.750
Pr2 0.970 0.030 0.250
Dy1 0.014 0.560 0.682
Dy2 0.120 0.754 0.057
Dy3 0.246 0.880 0.443
Dy4 0.292 0.514 0.884
Dy5 0.440 0.986 0.818
Dy6 0.486 0.708 0.616
Dy7 0.514 0.292 0.384
Dy8 0.560 0.014 0.182
Dy9 0.708 0.486 0.116
Dy10 0.754 0.120 0.557
Dy11 0.880 0.246 0.943
Dy12 0.986 0.440 0.318
Ho1 0.410 0.590 0.250
Ho2 0.590 0.410 0.750
Tm1 0.201 0.305 0.549
Tm2 0.305 0.201 0.049
Tm3 0.695 0.799 0.951
Tm4 0.799 0.695 0.451



# Pr4Dy2HoTm2 (PBE, relaxed)
# - space group = C2/m
# - calculated formation energy (meV per atom) = 26
# - total magnetization (μB per cell) = 0.00
# - crystal system = monoclinic
data_Pr4Dy2HoTm2
_symmetry_space_group_name_H-M 'P 1'
_symmetry_Int_Tables_number 1
_cell_length_a 8.078
_cell_length_b 8.078
_cell_length_c 8.047
_cell_angle_alpha 107.47
_cell_angle_beta 107.47
_cell_angle_gamma 36.79
loop_
_symmetry_equiv_pos_as_xyz
'x,y,z'
loop_
_atom_site_label
_atom_site_fract_x
_atom_site_fract_y
_atom_site_fract_z
Pr1 0.054 0.054 0.330
Pr2 0.277 0.277 0.670
Pr3 0.723 0.723 0.330
Pr4 0.946 0.946 0.670
Dy1 0.388 0.388 0.329
Dy2 0.612 0.612 0.671
Ho1 0.500 0.500 0.000
Tm1 0.168 0.168 0.000
Tm2 0.832 0.832 0.000



# Pr2DyHo6Tm (PBE, relaxed)
# - space group = C2/c
# - calculated formation energy (meV per atom) = 117
# - total magnetization (μB per cell) = 0.00
# - crystal system = monoclinic
data_Pr2DyHo6Tm
_symmetry_space_group_name_H-M 'P 1'
_symmetry_Int_Tables_number 1
_cell_length_a 8.745
_cell_length_b 8.745
_cell_length_c 9.691
_cell_angle_alpha 94.70
_cell_angle_beta 94.70
_cell_angle_gamma 118.06
loop_
_symmetry_equiv_pos_as_xyz
'x,y,z'
loop_
_atom_site_label
_atom_site_fract_x
_atom_site_fract_y
_atom_site_fract_z
Pr1 0.194 0.297 0.043
Pr2 0.297 0.194 0.543
Pr3 0.703 0.806 0.457
Pr4 0.806 0.703 0.957
Dy1 0.017 0.983 0.250
Dy2 0.983 0.017 0.750
Ho1 0.021 0.576 0.188
Ho2 0.125 0.743 0.557
Ho3 0.257 0.875 0.943
Ho4 0.293 0.504 0.381
Ho5 0.424 0.979 0.312
Ho6 0.496 0.707 0.119
Ho7 0.504 0.293 0.881
Ho8 0.576 0.021 0.688
Ho9 0.707 0.496 0.619
Ho10 0.743 0.125 0.057
Ho11 0.875 0.257 0.443
Ho12 0.979 0.424 0.812
Tm1 0.406 0.594 0.750
Tm2 0.594 0.406 0.250



# PrDy3Ho2Tm6 (PBE, relaxed)
# - space group = C2/m
# - calculated formation energy (meV per atom) = 23
# - total magnetization (μB per cell) = 0.00
# - crystal system = monoclinic
data_PrDy3Ho2Tm6
_symmetry_space_group_name_H-M 'P 1'
_symmetry_Int_Tables_number 1
_cell_length_a 6.104
_cell_length_b 6.104
_cell_length_c 11.663
_cell_angle_alpha 95.00
_cell_angle_beta 95.00
_cell_angle_gamma 119.95
loop_
_symmetry_equiv_pos_as_xyz
'x,y,z'
loop_
_atom_site_label
_atom_site_fract_x
_atom_site_fract_y
_atom_site_fract_z
Pr1 0.000 0.000 0.000
Dy1 0.167 0.833 0.500
Dy2 0.500 0.500 0.500
Dy3 0.833 0.167 0.500
Ho1 0.333 0.667 0.000
Ho2 0.667 0.333 0.000
Tm1 0.085 0.419 0.251
Tm2 0.250 0.250 0.749
Tm3 0.419 0.085 0.251
Tm4 0.581 0.915 0.749
Tm5 0.750 0.750 0.251
Tm6 0.915 0.581 0.749



# PrDy5Ho2Tm (PBE, relaxed)
# - space group = Cmc2_1
# - calculated formation energy (meV per atom) = 154
# - total magnetization (μB per cell) = 0.00
# - crystal system = orthorhombic
data_PrDy5Ho2Tm
_symmetry_space_group_name_H-M 'P 1'
_symmetry_Int_Tables_number 1
_cell_length_a 10.306
_cell_length_b 10.306
_cell_length_c 10.638
_cell_angle_alpha 90.00
_cell_angle_beta 90.00
_cell_angle_gamma 148.57
loop_
_symmetry_equiv_pos_as_xyz
'x,y,z'
loop_
_atom_site_label
_atom_site_fract_x
_atom_site_fract_y
_atom_site_fract_z
Pr1 0.202 0.798 0.500
Pr2 0.798 0.202 0.000
Dy1 0.018 0.982 0.516
Dy2 0.282 0.718 0.794
Dy3 0.301 0.699 0.196
Dy4 0.395 0.605 0.513
Dy5 0.479 0.521 0.228
Dy6 0.521 0.479 0.728
Dy7 0.605 0.395 0.013
Dy8 0.699 0.301 0.696
Dy9 0.718 0.282 0.294
Dy10 0.982 0.018 0.016
Ho1 0.108 0.892 0.228
Ho2 0.114 0.886 0.809
Ho3 0.886 0.114 0.309
Ho4 0.892 0.108 0.728
Tm1 0.414 0.586 0.946
Tm2 0.586 0.414 0.446



# PrDy2HoTm (PBE, relaxed)
# - space group = Cmcm
# - calculated formation energy (meV per atom) = 384
# - total magnetization (μB per cell) = 0.00
# - crystal system = orthorhombic
data_PrDy2HoTm
_symmetry_space_group_name_H-M 'P 1'
_symmetry_Int_Tables_number 1
_cell_length_a 7.104
_cell_length_b 7.104
_cell_length_c 7.203
_cell_angle_alpha 90.00
_cell_angle_beta 90.00
_cell_angle_gamma 107.65
loop_
_symmetry_equiv_pos_as_xyz
'x,y,z'
loop_
_atom_site_label
_atom_site_fract_x
_atom_site_fract_y
_atom_site_fract_z
Pr1 0.229 0.771 0.750
Pr2 0.771 0.229 0.250
Dy1 0.190 0.190 0.000
Dy2 0.190 0.190 0.500
Dy3 0.810 0.810 0.000
Dy4 0.810 0.810 0.500
Ho1 0.500 0.500 0.250
Ho2 0.500 0.500 0.750
Tm1 0.222 0.778 0.250
Tm2 0.778 0.222 0.750